[1]
A relaxed CsV2Cr crystal. Source: the Alexandria database, functional PBE-GGA.

Structure (extended XYZ):
```
4
Lattice="2.4147 0.5959 4.1698 2.0535 4.2782 1.0260 -1.8560 2.8063 3.5004" Properties=species:S:1:pos:R:3 pbc="T T T"
Cs 1.3061 3.8403 4.3481
Cr 0.0000 0.0000 0.0000
V 0.6530 1.9201 2.1740
V 1.9591 5.7604 6.5221
```

Summary:
For the formation energy, the calculation gives 1.70 eV/atom. The calculation puts the calculated total energy at -5.48 eV per atom. The symmetry is Fm-3m. As for the density of states at the Fermi level: 6.22 states/eV/cell.

[2]
A relaxed Sm2Ho3Tm6 crystal. Source: the Alexandria database, functional PBE-GGA.

Structure (extended XYZ):
```
11
Lattice="5.7891 0.0000 1.7300 2.8945 5.2403 0.8650 -1.3135 0.0000 11.4882" Properties=species:S:1:pos:R:3 pbc="T T T"
Tm 4.0207 1.7478 4.1436
Tm 1.1241 0.0000 3.2803
Tm 0.4549 1.7478 9.0746
Tm 3.3494 3.4924 9.9396
Tm 3.3514 0.0000 9.9379
Tm 6.9152 3.4924 5.0085
Ho 0.0000 0.0000 0.0000
Ho 5.7891 3.5111 1.7300
Ho 2.8945 1.7292 0.8650
Sm 2.2378 3.4949 6.6091
Sm 5.1323 1.7454 7.4741
```

Summary:
For the formation energy, the calculation gives 0.19 eV/atom. The calculation puts the calculated total energy at -4.35 eV per atom. The symmetry is C2/m. As for the density of states at the Fermi level: 18.26 states/eV/cell. For the energy above the most stable polymorph in this dataset, the calculation gives 0 meV/atom.